The following is a DFT calculation (PBE) of a relaxed structure of Ba2MgZn9.

For the volume, the calculation gives 785.0 Å³/cell. The calculated formation energy comes out at -2.4 kJ per mole of atoms. The total magnetization comes out at 0.00 μB/cell. The calculated total energy is -1.43 eV/atom.

The structure belongs to space group R-3m (No. 166, hexagonal axes); the cell edges are 5.7679, 5.7679 and 27.2461 Å and the angles 90.00°, 90.00° and 120.00°. The distinct sites, in fractional coordinates, are Ba at (0.0000, 0.0000, 0.1392), Mg at (0.0000, 0.0000, 0.0000), Zn at (0.0000, 0.0000, 0.3347), Zn at (0.0000, 0.0000, 0.5000) and Zn at (0.0032, 0.5016, 0.9246).

The following is a DFT calculation (PBE) of a relaxed structure of Ba2Mg3Zn.

For the volume, the calculation gives 383.2 Å³/cell. The calculated formation energy comes out at -7.4 kJ per mole of atoms. The total magnetization comes out at 0.00 μB/cell. The calculated total energy is -1.73 eV/atom.

The structure belongs to space group C2/m (No. 12); the cell edges are 11.2044, 6.4517 and 6.4692 Å and the angles 90.00°, 124.98° and 90.00°. The distinct sites, in fractional coordinates, are Ba at (0.1269, 0.0000, 0.3807), Mg at (0.0000, 0.5000, 0.0000), Mg at (0.2500, 0.2500, 0.0000) and Zn at (0.0000, 0.5000, 0.5000).